# Ba2SiPPt6 (PBE-GGA, optimized geometry)
data_Ba2SiPPt6
_chemical_formula_sum 'Ba4 Si2 P2 Pt12'
_symmetry_space_group_name_H-M 'C 1 2/m 1'
_symmetry_Int_Tables_number 12
_symmetry_space_group_name_Hall '-C 2y'
_cell_length_a 11.461
_cell_length_b 6.607
_cell_length_c 6.734
_cell_angle_alpha 90.00
_cell_angle_beta 124.54
_cell_angle_gamma 90.00
loop_
_atom_site_label
_atom_site_type_symbol
_atom_site_fract_x
_atom_site_fract_y
_atom_site_fract_z
Ba1 Ba 0.210 0.000 0.131
Si1 Si 0.000 0.500 0.000
P1 P 0.000 0.000 0.500
Pt1 Pt 0.044 0.292 0.341
Pt2 Pt 0.248 0.000 0.659
# DOS at the Fermi energy ... 2.7 states/eV/f.u.
# Uncorrected energy ... -5.89 eV/atom
# Uncorrected formation energy ... -0.80 eV/atom